(1)
# NbN2F (PBE-GGA, optimized geometry)
data_NbN2F
_space_group_name_H-M_alt 'F m -3 m'
_space_group_IT_number 225
_space_group_name_Hall '-F 4 2 3'
_cell_length_a 5.308
_cell_length_b 5.308
_cell_length_c 5.308
_cell_angle_alpha 90.00
_cell_angle_beta 90.00
_cell_angle_gamma 90.00
loop_
_atom_site_label
_atom_site_fract_x
_atom_site_fract_y
_atom_site_fract_z
Nb1 0.000 0.000 0.000
N1 0.250 0.250 0.250
F1 0.000 0.000 0.500
# size of the total moment	0.008	μB/atom
# energy relative to the elements, uncorrected	368	meV/atom
# distance to the lowest polymorph of the same formula	0.5200	eV/atom

***

(2)
# HfBAs3 (PBE-GGA, optimized geometry)
data_HfBAs3
_space_group_name_H-M_alt 'P m -3 m'
_space_group_IT_number 221
_space_group_name_Hall '-P 4 2 3'
_cell_length_a 5.129
_cell_length_b 5.129
_cell_length_c 5.129
_cell_angle_alpha 90.00
_cell_angle_beta 90.00
_cell_angle_gamma 90.00
loop_
_atom_site_label
_atom_site_fract_x
_atom_site_fract_y
_atom_site_fract_z
Hf1 0.000 0.000 0.000
B1 0.500 0.500 0.500
As1 0.000 0.000 0.500
# formation energy from the elements	1118	meV per atom
# size of the total moment	0.000	μB/atom
# distance to the lowest polymorph of the same formula	0.6133	eV/atom

***

(3)
# KZnHgF6 (PBE-GGA, optimized geometry)
data_KZnHgF6
_space_group_name_H-M_alt 'P -3 1 c'
_space_group_IT_number 163
_space_group_name_Hall '-P 3 2c'
_cell_length_a 5.7887
_cell_length_b 5.7887
_cell_length_c 10.9278
_cell_angle_alpha 90.00
_cell_angle_beta 90.00
_cell_angle_gamma 120.00
loop_
_atom_site_label
_atom_site_fract_x
_atom_site_fract_y
_atom_site_fract_z
K1 0.0000 0.0000 0.0000
Zn1 0.3333 0.6667 0.2500
Hg1 0.3333 0.6667 0.7500
F1 0.0261 0.3887 0.1463
# size of the total moment	0.119	μB/atom
# energy relative to the elements, uncorrected	-1915	meV/atom